A relaxed structure of AcPm2NbN4. Source: Alexandria via LeMat-Bulk, functional PBE-GGA.

Unit cell a=6.5057 b=6.5057 c=12.4402 alpha=90.00 beta=90.00 gamma=148.30
Sites, in units of the cell vectors:
1 Ac 0.0897 0.9103 0.7500
2 Ac 0.9103 0.0897 0.2500
3 Pm 0.3709 0.6291 0.5372
4 Pm 0.3709 0.6291 0.9628
5 Pm 0.6291 0.3709 0.0372
6 Pm 0.6291 0.3709 0.4628
7 Nb 0.1706 0.8294 0.2500
8 Nb 0.8294 0.1706 0.7500
9 N 0.0000 0.0000 0.0000
10 N 0.0000 0.0000 0.5000
11 N 0.2636 0.7364 0.1247
12 N 0.2636 0.7364 0.3753
13 N 0.4276 0.5724 0.7500
14 N 0.5724 0.4276 0.2500
15 N 0.7364 0.2636 0.6247
16 N 0.7364 0.2636 0.8753

Output
The symmetry is Cmcm. The value obtained for the total energy is -132.2 eV for the cell shown. The value obtained for the energy relative to the elements, uncorrected is -9.13 eV per formula unit.